Record 1
The following is a PBE-GGA calculation of an optimized crystal structure of Co3As, from the Open Quantum Materials Database.

## Properties
total magnetic moment = 0.00 μB/atom
theoretical density = 9.0 g cm⁻³
VASP energy = -101.24 eV per cell

a = 5.7110 Å, b = 5.7110 Å, c = 5.7110 Å
α = 90.00°, β = 90.00°, γ = 90.00°
Element x y z (fractional)
Co  0.0000  0.0000  0.0000
Co  0.0000  0.5000  0.5000
Co  0.2500  0.2500  0.2500
Co  0.2500  0.2500  0.7500
Co  0.2500  0.7500  0.2500
Co  0.2500  0.7500  0.7500
Co  0.5000  0.0000  0.5000
Co  0.5000  0.5000  0.0000
Co  0.7500  0.2500  0.2500
Co  0.7500  0.2500  0.7500
Co  0.7500  0.7500  0.2500
Co  0.7500  0.7500  0.7500
As  0.0000  0.0000  0.5000
As  0.0000  0.5000  0.0000
As  0.5000  0.0000  0.0000
As  0.5000  0.5000  0.5000

***

Record 2
The following is a PBE-GGA calculation of an optimized crystal structure of CoAs3, from the Open Quantum Materials Database.

## Properties
total magnetic moment = 0.00 μB/atom
theoretical density = 7.2 g cm⁻³
VASP energy = -76.24 eV per cell

a = 6.3869 Å, b = 6.3869 Å, c = 6.3869 Å
α = 90.00°, β = 90.00°, γ = 90.00°
Element x y z (fractional)
Co  0.0000  0.0000  0.0000
Co  0.0000  0.5000  0.5000
Co  0.5000  0.0000  0.5000
Co  0.5000  0.5000  0.0000
As  0.0000  0.0000  0.5000
As  0.0000  0.5000  0.0000
As  0.2500  0.2500  0.2500
As  0.2500  0.2500  0.7500
As  0.2500  0.7500  0.2500
As  0.2500  0.7500  0.7500
As  0.5000  0.0000  0.0000
As  0.5000  0.5000  0.5000
As  0.7500  0.2500  0.2500
As  0.7500  0.2500  0.7500
As  0.7500  0.7500  0.2500
As  0.7500  0.7500  0.7500

***

Record 3
The following is a PBE-GGA calculation of an optimized crystal structure of CoAs2, from the Open Quantum Materials Database.

## Properties
total magnetic moment = 0.00 μB/atom
theoretical density = 6.7 g cm⁻³
VASP energy = -32.93 eV per cell

a = 5.3709 Å, b = 5.3709 Å, c = 3.5912 Å
α = 90.00°, β = 90.00°, γ = 90.00°
Element x y z (fractional)
Co  0.0000  0.0000  0.0000
Co  0.5000  0.5000  0.5000
As  0.1997  0.1997  0.5000
As  0.3003  0.6997  0.0000
As  0.6997  0.3003  0.0000
As  0.8003  0.8003  0.5000

***

Record 4
The following is a PBE-GGA calculation of an optimized crystal structure of Co9As2, from the Open Quantum Materials Database.

## Properties
total magnetic moment = 1.26 μB/atom
theoretical density = 6.6 g cm⁻³
VASP energy = -71.42 eV per cell

a = 2.5744 Å, b = 2.5744 Å, c = 29.9137 Å
α = 90.00°, β = 90.00°, γ = 120.00°
Element x y z (fractional)
Co  0.0000  0.0000  0.0000
Co  0.0000  0.0000  0.1971
Co  0.0000  0.0000  0.8029
Co  0.3333  0.6667  0.1314
Co  0.3333  0.6667  0.7374
Co  0.3333  0.6667  0.9343
Co  0.6667  0.3333  0.0657
Co  0.6667  0.3333  0.2626
Co  0.6667  0.3333  0.8686
As  0.3333  0.6667  0.3281
As  0.6667  0.3333  0.6719

***

Record 5
The following is a PBE-GGA calculation of an optimized crystal structure of CoAs3, from the Open Quantum Materials Database.

## Properties
total magnetic moment = 0.00 μB/atom
theoretical density = 6.7 g cm⁻³
VASP energy = -41.19 eV per cell

a = 7.3665 Å, b = 7.3665 Å, c = 2.9889 Å
α = 90.00°, β = 90.00°, γ = 120.00°
Element x y z (fractional)
Co  0.3333  0.6667  0.2500
Co  0.6667  0.3333  0.7500
As  0.1873  0.3746  0.7500
As  0.1873  0.8127  0.7500
As  0.3746  0.1873  0.2500
As  0.6254  0.8127  0.7500
As  0.8127  0.1873  0.2500
As  0.8127  0.6254  0.2500

***

Record 6
The following is a PBE-GGA calculation of an optimized crystal structure of CoAs2, from the Open Quantum Materials Database.

## Properties
total magnetic moment = 0.01 μB/atom
theoretical density = 6.7 g cm⁻³
VASP energy = -26.70 eV per cell

a = 5.2702 Å, b = 5.2702 Å, c = 5.2702 Å
α = 60.00°, β = 60.00°, γ = 60.00°
Element x y z (fractional)
Co  0.1250  0.1250  0.1250
Co  0.8750  0.8750  0.8750
As  0.0000  0.5000  0.5000
As  0.5000  0.0000  0.5000
As  0.5000  0.5000  0.0000
As  0.5000  0.5000  0.5000